A relaxed structure of TbAl2Fe9. Source: the Alexandria database, functional GGA-PBE.

Cell lengths 8.218, 8.218, 8.218 Å; angles 34.69, 34.69, 34.69 degrees
Fractional positions:
Tb (0.000, 0.000, 0.000)
Al (0.143, 0.143, 0.143)
Al (0.857, 0.857, 0.857)
Fe (0.081, 0.591, 0.591)
Fe (0.334, 0.334, 0.334)
Fe (0.409, 0.409, 0.919)
Fe (0.409, 0.919, 0.409)
Fe (0.500, 0.500, 0.500)
Fe (0.591, 0.081, 0.591)
Fe (0.591, 0.591, 0.081)
Fe (0.666, 0.666, 0.666)
Fe (0.919, 0.409, 0.409)

## Properties
Offset from the most stable computed form   63 meV/atom
DFT formation energy   -85 meV per atom
Total moment   17.335 μB per cell